Arrangement one

A relaxed BaTeBr crystal. Source: the Alexandria database, functional PBE.

- ρ: 4.65 Mg/m³
- Space group: I4mm

Unit cell a=3.9768 b=3.9768 c=15.5867 alpha=90.00 beta=90.00 gamma=90.00
Atoms (fractional coordinates):
Ba  0.0000  0.0000  0.0000
Ba  0.5000  0.5000  0.5000
Te  0.0000  0.0000  0.3467
Te  0.5000  0.5000  0.8467
Br  0.0000  0.0000  0.6105
Br  0.5000  0.5000  0.1105

---

Arrangement two

A relaxed BaTeBr crystal. Source: the Alexandria database, functional PBE.

- ρ: 4.71 Mg/m³
- Space group: F-43m

Unit cell a=7.8652 b=7.8652 c=7.8652 alpha=90.00 beta=90.00 gamma=90.00
Atoms (fractional coordinates):
Ba  0.0000  0.0000  0.0000
Ba  0.0000  0.5000  0.5000
Ba  0.5000  0.0000  0.5000
Ba  0.5000  0.5000  0.0000
Te  0.0000  0.0000  0.5000
Te  0.0000  0.5000  0.0000
Te  0.5000  0.0000  0.0000
Te  0.5000  0.5000  0.5000
Br  0.2500  0.2500  0.2500
Br  0.2500  0.7500  0.7500
Br  0.7500  0.2500  0.7500
Br  0.7500  0.7500  0.2500

---

The most stable structure shown above is arrangement one; the least stable is arrangement two.